(1)
# ZnIrSeN2, PBEsol geometry, DFT SCAN
# Electronic total energy (eV/atom): -24.0036
# Magnetization (μB per atom): 0.00
# N(E_F) (states/eV/f.u.): 2.11
# Symmetry: P4/mmm (123)
data_ZnIrSeN2
_chemical_formula_sum 'Zn1 Ir1 Se1 N2'
_cell_length_a 3.730
_cell_length_b 3.730
_cell_length_c 5.588
_cell_angle_alpha 90.00
_cell_angle_beta 90.00
_cell_angle_gamma 90.00
_space_group_name_H-M_alt 'P 1'
_space_group_IT_number 1
loop_
_space_group_symop_operation_xyz
'x,y,z'
loop_
_atom_site_label
_atom_site_type_symbol
_atom_site_fract_x
_atom_site_fract_y
_atom_site_fract_z
_atom_site_occupancy
Zn1 Zn 0.000 0.000 0.000 1
Ir1 Ir 0.500 0.500 0.500 1
Se1 Se 0.500 0.500 0.000 1
N1 N 0.000 0.500 0.500 1
N2 N 0.500 0.000 0.500 1

(2)
# IrPt2Br, PBEsol geometry, DFT SCAN
# Electronic total energy (eV/atom): -57.0874
# Magnetization (μB per atom): 0.00
# Energy relative to the lowest polymorph listed for this composition (meV per atom): 176.0
# N(E_F) (states/eV/f.u.): 3.38
# Symmetry: Cmm2 (35)
data_IrPt2Br
_chemical_formula_sum 'Ir2 Pt4 Br2'
_cell_length_a 2.756
_cell_length_b 4.954
_cell_length_c 9.404
_cell_angle_alpha 90.00
_cell_angle_beta 90.00
_cell_angle_gamma 90.00
_space_group_name_H-M_alt 'P 1'
_space_group_IT_number 1
loop_
_space_group_symop_operation_xyz
'x,y,z'
loop_
_atom_site_label
_atom_site_type_symbol
_atom_site_fract_x
_atom_site_fract_y
_atom_site_fract_z
_atom_site_occupancy
Ir1 Ir 0.000 0.000 0.000 1
Ir2 Ir 0.500 0.500 0.000 1
Pt1 Pt 0.000 0.000 0.487 1
Pt2 Pt 0.000 0.500 0.239 1
Pt3 Pt 0.500 0.000 0.239 1
Pt4 Pt 0.500 0.500 0.487 1
Br1 Br 0.000 0.500 0.761 1
Br2 Br 0.500 0.000 0.761 1

(3)
# Li4Al3Ge3IO12, PBEsol geometry, DFT SCAN
# Electronic total energy (eV/atom): -11.1926
# Magnetization (μB per atom): 0.01
# N(E_F) (states/eV/f.u.): 0.00
# Symmetry: P-43n (218)
data_Li4Al3Ge3IO12
_chemical_formula_sum 'Li8 Al6 Ge6 I2 O24'
_cell_length_a 8.727
_cell_length_b 8.727
_cell_length_c 8.727
_cell_angle_alpha 90.00
_cell_angle_beta 90.00
_cell_angle_gamma 90.00
_space_group_name_H-M_alt 'P 1'
_space_group_IT_number 1
loop_
_space_group_symop_operation_xyz
'x,y,z'
loop_
_atom_site_label
_atom_site_type_symbol
_atom_site_fract_x
_atom_site_fract_y
_atom_site_fract_z
_atom_site_occupancy
Li1 Li 0.189 0.189 0.189 1
Li2 Li 0.189 0.811 0.811 1
Li3 Li 0.311 0.311 0.689 1
Li4 Li 0.311 0.689 0.311 1
Li5 Li 0.689 0.311 0.311 1
Li6 Li 0.689 0.689 0.689 1
Li7 Li 0.811 0.189 0.811 1
Li8 Li 0.811 0.811 0.189 1
Al1 Al 0.000 0.250 0.500 1
Al2 Al 0.000 0.750 0.500 1
Al3 Al 0.250 0.500 0.000 1
Al4 Al 0.500 0.000 0.250 1
Al5 Al 0.500 0.000 0.750 1
Al6 Al 0.750 0.500 0.000 1
Ge1 Ge 0.000 0.500 0.250 1
Ge2 Ge 0.000 0.500 0.750 1
Ge3 Ge 0.250 0.000 0.500 1
Ge4 Ge 0.500 0.250 0.000 1
Ge5 Ge 0.500 0.750 0.000 1
Ge6 Ge 0.750 0.000 0.500 1
I1 I 0.000 0.000 0.000 1
I2 I 0.500 0.500 0.500 1
O1 O 0.094 0.360 0.640 1
O2 O 0.094 0.640 0.360 1
O3 O 0.140 0.140 0.406 1
O4 O 0.140 0.406 0.140 1
O5 O 0.140 0.594 0.860 1
O6 O 0.140 0.860 0.594 1
O7 O 0.360 0.094 0.640 1
O8 O 0.360 0.360 0.906 1
O9 O 0.360 0.640 0.094 1
O10 O 0.360 0.906 0.360 1
O11 O 0.406 0.140 0.140 1
O12 O 0.406 0.860 0.860 1
O13 O 0.594 0.140 0.860 1
O14 O 0.594 0.860 0.140 1
O15 O 0.640 0.094 0.360 1
O16 O 0.640 0.360 0.094 1
O17 O 0.640 0.640 0.906 1
O18 O 0.640 0.906 0.640 1
O19 O 0.860 0.140 0.594 1
O20 O 0.860 0.406 0.860 1
O21 O 0.860 0.594 0.140 1
O22 O 0.860 0.860 0.406 1
O23 O 0.906 0.360 0.360 1
O24 O 0.906 0.640 0.640 1

(4)
# LaYMnC2, PBEsol geometry, DFT SCAN
# Electronic total energy (eV/atom): -20.1469
# Magnetization (μB per atom): 0.76
# Formation energy (meV per atom): 1734
# N(E_F) (states/eV/f.u.): 3.62
# Symmetry: P4/mmm (123)
data_LaYMnC2
_chemical_formula_sum 'La1 Y1 Mn1 C2'
_cell_length_a 4.504
_cell_length_b 4.504
_cell_length_c 4.717
_cell_angle_alpha 90.00
_cell_angle_beta 90.00
_cell_angle_gamma 90.00
_space_group_name_H-M_alt 'P 1'
_space_group_IT_number 1
loop_
_space_group_symop_operation_xyz
'x,y,z'
loop_
_atom_site_label
_atom_site_type_symbol
_atom_site_fract_x
_atom_site_fract_y
_atom_site_fract_z
_atom_site_occupancy
La1 La 0.000 0.000 0.000 1
Y1 Y 0.500 0.500 0.500 1
Mn1 Mn 0.000 0.000 0.500 1
C1 C 0.000 0.500 0.000 1
C2 C 0.500 0.000 0.000 1

(5)
# Sc4TcBr, PBEsol geometry, DFT SCAN
# Electronic total energy (eV/atom): -17.8923
# Magnetization (μB per atom): 0.00
# N(E_F) (states/eV/f.u.): 7.62
# Symmetry: F-43m (216)
data_Sc4TcBr
_chemical_formula_sum 'Sc4 Tc1 Br1'
_cell_length_a 5.611
_cell_length_b 5.611
_cell_length_c 5.611
_cell_angle_alpha 60.00
_cell_angle_beta 60.00
_cell_angle_gamma 60.00
_space_group_name_H-M_alt 'P 1'
_space_group_IT_number 1
loop_
_space_group_symop_operation_xyz
'x,y,z'
loop_
_atom_site_label
_atom_site_type_symbol
_atom_site_fract_x
_atom_site_fract_y
_atom_site_fract_z
_atom_site_occupancy
Sc1 Sc 0.378 0.378 0.378 1
Sc2 Sc 0.378 0.378 0.865 1
Sc3 Sc 0.378 0.865 0.378 1
Sc4 Sc 0.865 0.378 0.378 1
Tc1 Tc 0.750 0.750 0.750 1
Br1 Br 0.000 0.000 0.000 1

(6)
# YCd3S, PBEsol geometry, DFT SCAN
# Electronic total energy (eV/atom): -25.4832
# Magnetization (μB per atom): 0.01
# N(E_F) (states/eV/f.u.): 3.70
# Symmetry: Pm-3m (221)
data_YCd3S
_chemical_formula_sum 'Y1 Cd3 S1'
_cell_length_a 5.056
_cell_length_b 5.056
_cell_length_c 5.056
_cell_angle_alpha 90.00
_cell_angle_beta 90.00
_cell_angle_gamma 90.00
_space_group_name_H-M_alt 'P 1'
_space_group_IT_number 1
loop_
_space_group_symop_operation_xyz
'x,y,z'
loop_
_atom_site_label
_atom_site_type_symbol
_atom_site_fract_x
_atom_site_fract_y
_atom_site_fract_z
_atom_site_occupancy
Y1 Y 0.000 0.000 0.000 1
Cd1 Cd 0.000 0.500 0.500 1
Cd2 Cd 0.500 0.000 0.500 1
Cd3 Cd 0.500 0.500 0.000 1
S1 S 0.500 0.500 0.500 1

(7)
# TlNiTe, PBEsol geometry, DFT SCAN
# Electronic total energy (eV/atom): -41.8380
# Magnetization (μB per atom): 0.00
# N(E_F) (states/eV/f.u.): 1.70
# Symmetry: I4mm (107)
data_TlNiTe
_chemical_formula_sum 'Tl2 Ni2 Te2'
_cell_length_a 3.251
_cell_length_b 3.251
_cell_length_c 12.807
_cell_angle_alpha 90.00
_cell_angle_beta 90.00
_cell_angle_gamma 90.00
_space_group_name_H-M_alt 'P 1'
_space_group_IT_number 1
loop_
_space_group_symop_operation_xyz
'x,y,z'
loop_
_atom_site_label
_atom_site_type_symbol
_atom_site_fract_x
_atom_site_fract_y
_atom_site_fract_z
_atom_site_occupancy
Tl1 Tl 0.000 0.000 0.000 1
Tl2 Tl 0.500 0.500 0.500 1
Ni1 Ni 0.000 0.000 0.331 1
Ni2 Ni 0.500 0.500 0.831 1
Te1 Te 0.000 0.000 0.742 1
Te2 Te 0.500 0.500 0.242 1

(8)
# LiYAu2, PBEsol geometry, DFT SCAN
# Electronic total energy (eV/atom): -43.0226
# Magnetization (μB per atom): 0.00
# Formation energy (meV per atom): -886
# Energy relative to the lowest polymorph listed for this composition (meV per atom): 0.0
# N(E_F) (states/eV/f.u.): 2.38
# Symmetry: Immm (71)
data_LiYAu2
_chemical_formula_sum 'Li2 Y2 Au4'
_cell_length_a 4.680
_cell_length_b 4.869
_cell_length_c 6.775
_cell_angle_alpha 90.00
_cell_angle_beta 90.00
_cell_angle_gamma 90.00
_space_group_name_H-M_alt 'P 1'
_space_group_IT_number 1
loop_
_space_group_symop_operation_xyz
'x,y,z'
loop_
_atom_site_label
_atom_site_type_symbol
_atom_site_fract_x
_atom_site_fract_y
_atom_site_fract_z
_atom_site_occupancy
Li1 Li 0.000 0.000 0.000 1
Li2 Li 0.500 0.500 0.500 1
Y1 Y 0.000 0.000 0.500 1
Y2 Y 0.500 0.500 0.000 1
Au1 Au 0.000 0.500 0.261 1
Au2 Au 0.000 0.500 0.739 1
Au3 Au 0.500 0.000 0.239 1
Au4 Au 0.500 0.000 0.761 1